Entry from the Alexandria database: a relaxed structure of HgAs2P (PBE).

Calculated values
* final energy: -3.495 eV/atom
* V: 209.92 Å³ per cell
* energy of formation: 0.2577 eV per atom
* relative energy among the computed polymorphs: 0.0231 eV per atom

a b c (Å): 7.343 7.343 7.343
angles (deg): 132.70 132.70 69.13
Fractional positions:
Hg (0.000, 0.000, 0.000)
Hg (0.750, 0.250, 0.500)
As (0.166, 0.625, 0.041)
As (0.375, 0.416, 0.541)
As (0.584, 0.125, 0.959)
As (0.875, 0.834, 0.459)
P (0.250, 0.750, 0.500)
P (0.500, 0.500, 0.000)

=====

Entry from the Alexandria database: a relaxed structure of Hg2AsP (PBE).

Calculated values
* final energy: -2.101 eV/atom
* V: 88.34 Å³ per cell
* energy of formation: 0.5648 eV per atom
* relative energy among the computed polymorphs: 0.4684 eV per atom

a b c (Å): 2.847 2.847 10.903
angles (deg): 90.00 90.00 90.00
Fractional positions:
Hg (0.000, 0.000, 0.241)
Hg (0.000, 0.000, 0.759)
As (0.500, 0.500, 0.500)
P (0.500, 0.500, 0.000)

=====

Entry from the Alexandria database: a relaxed structure of HgAsP (PBE).

Calculated values
* final energy: -3.355 eV/atom
* V: 157.37 Å³ per cell
* energy of formation: 0.0989 eV per atom
* relative energy among the computed polymorphs: 0.0522 eV per atom

a b c (Å): 4.505 4.505 8.046
angles (deg): 97.51 97.51 77.81
Fractional positions:
Hg (0.182, 0.182, 0.417)
Hg (0.818, 0.818, 0.583)
As (0.233, 0.544, 0.116)
As (0.456, 0.767, 0.884)
P (0.660, 0.124, 0.088)
P (0.876, 0.340, 0.912)

=====

Entry from the Alexandria database: a relaxed structure of HgAs2P (PBE).

Calculated values
* final energy: -3.394 eV/atom
* V: 98.22 Å³ per cell
* energy of formation: 0.3592 eV per atom
* relative energy among the computed polymorphs: 0.1246 eV per atom

a b c (Å): 5.468 5.468 6.997
angles (deg): 126.38 126.38 36.99
Fractional positions:
Hg (0.000, 0.000, 0.000)
As (0.202, 0.202, 0.598)
As (0.798, 0.798, 0.402)
P (0.500, 0.500, 0.500)

=====

Entry from the Alexandria database: a relaxed structure of HgAsP (PBE).

Calculated values
* final energy: -2.725 eV/atom
* V: 121.82 Å³ per cell
* energy of formation: 0.7287 eV per atom
* relative energy among the computed polymorphs: 0.6820 eV per atom

a b c (Å): 5.074 5.074 5.464
angles (deg): 90.00 90.00 120.00
Fractional positions:
Hg (0.333, 0.667, 0.250)
Hg (0.667, 0.333, 0.750)
As (0.333, 0.667, 0.750)
As (0.667, 0.333, 0.250)
P (0.000, 0.000, 0.000)
P (0.000, 0.000, 0.500)

=====

Entry from the Alexandria database: a relaxed structure of Hg2AsP (PBE).

Calculated values
* final energy: -2.395 eV/atom
* V: 93.33 Å³ per cell
* energy of formation: 0.2710 eV per atom
* relative energy among the computed polymorphs: 0.1745 eV per atom

a b c (Å): 7.476 7.476 3.588
angles (deg): 91.39 91.39 27.75
Fractional positions:
Hg (0.186, 0.186, 0.268)
Hg (0.814, 0.814, 0.732)
As (0.000, 0.000, 0.000)
P (0.500, 0.500, 0.500)